{"formula": "AsAuSe2S", "functional": "PBE", "state": "optimized geometry", "crystal_system": "tetragonal", "formation_energy_uncorrected_kcal_per_mol_atoms": 18.3, "lattice": [[4.804, 0.000, 0.000], [0.000, 4.804, 0.000], [0.000, 0.000, 4.891]], "species": ["S", "Se", "As", "Se", "Au"], "fractional_positions": [[0.000, 0.000, 0.000], [0.000, 0.500, 0.000], [0.000, 0.000, 0.500], [0.500, 0.000, 0.000], [0.500, 0.500, 0.500]]}


{"formula": "AsAuSe2S", "functional": "PBE", "state": "optimized geometry", "crystal_system": "tetragonal", "formation_energy_uncorrected_kcal_per_mol_atoms": 23.7, "lattice": [[-2.729, 3.141, -2.894], [-3.406, 0.472, 3.724], [2.546, 3.902, 1.834]], "species": ["Au", "Se", "As", "Se", "S"], "fractional_positions": [[0.000, 0.000, 0.000], [0.000, 0.500, 0.000], [0.000, 0.000, 0.500], [0.500, 0.000, 0.000], [0.500, 0.500, 0.500]]}


{"formula": "SiAsAu2S", "functional": "PBE", "state": "optimized geometry", "crystal_system": "tetragonal", "formation_energy_uncorrected_kcal_per_mol_atoms": 14.1, "lattice": [[4.834, 0.000, 0.000], [0.000, 4.527, 0.000], [0.000, 0.000, 4.834]], "species": ["Au", "S", "Au", "As", "Si"], "fractional_positions": [[0.500, 0.000, 0.000], [0.000, 0.500, 0.000], [0.000, 0.000, 0.500], [0.500, 0.500, 0.500], [0.000, 0.000, 0.000]]}


{"formula": "Sm4AsAuS2", "functional": "PBE", "state": "optimized geometry", "crystal_system": "monoclinic", "formation_energy_uncorrected_kcal_per_mol_atoms": -35.9, "lattice": [[-3.268, -1.239, 2.121], [4.285, -3.912, 4.317], [2.030, 4.044, 5.490]], "species": ["Sm", "Au", "S", "Sm", "Sm", "Sm", "S", "As"], "fractional_positions": [[0.000, 0.241, 0.246], [0.000, 0.500, 0.500], [0.000, 0.000, 0.000], [0.500, 0.766, 0.240], [0.500, 0.234, 0.760], [0.000, 0.759, 0.754], [0.500, 0.000, 0.500], [0.500, 0.500, 0.000]]}


{"formula": "Tb4AsAuS2", "functional": "PBE", "state": "optimized geometry", "crystal_system": "monoclinic", "formation_energy_uncorrected_kcal_per_mol_atoms": -35.9, "lattice": [[4.002, 0.000, 0.000], [0.000, 7.124, -0.220], [0.000, 2.428, 6.525]], "species": ["As", "Tb", "Tb", "S", "Tb", "Tb", "Au", "S"], "fractional_positions": [[0.500, 0.500, 0.000], [0.500, 0.765, 0.242], [0.000, 0.241, 0.247], [0.500, 0.000, 0.500], [0.000, 0.759, 0.753], [0.500, 0.235, 0.758], [0.000, 0.500, 0.500], [0.000, 0.000, 0.000]]}


{"formula": "TlAsAu2S4", "functional": "PBE", "state": "optimized geometry", "crystal_system": "orthorhombic", "formation_energy_uncorrected_kcal_per_mol_atoms": -2.7, "lattice": [[-2.268, -2.560, 5.281], [-4.845, -4.572, -0.550], [3.087, -5.395, 2.459]], "species": ["As", "S", "S", "Au", "S", "S", "Tl", "Au"], "fractional_positions": [[0.000, 0.500, 0.500], [0.034, 0.818, 0.506], [0.357, 0.182, 0.494], [0.500, 0.325, 0.675], [0.643, 0.506, 0.818], [0.966, 0.494, 0.182], [0.000, 0.000, 0.000], [0.500, 0.675, 0.325]]}


{"formula": "U2As2AuS2", "functional": "PBE", "state": "optimized geometry", "crystal_system": "trigonal", "formation_energy_uncorrected_kcal_per_mol_atoms": -14.2, "lattice": [[-3.525, -1.226, -1.765], [1.624, -2.186, 3.103], [-7.188, 7.575, 9.096]], "species": ["As", "U", "S", "S", "Au", "As", "U"], "fractional_positions": [[0.000, 0.000, 0.176], [0.333, 0.667, 0.715], [0.667, 0.333, 0.625], [0.333, 0.667, 0.375], [0.000, 0.000, 0.000], [0.000, 0.000, 0.824], [0.667, 0.333, 0.285]]}


{"formula": "AsWAu2S", "functional": "PBE", "state": "optimized geometry", "crystal_system": "tetragonal", "formation_energy_uncorrected_kcal_per_mol_atoms": 23.8, "lattice": [[4.796, 0.000, 0.000], [0.000, 4.463, 0.000], [0.000, 0.000, 4.796]], "species": ["Au", "S", "W", "Au", "As"], "fractional_positions": [[0.500, 0.000, 0.000], [0.000, 0.000, 0.000], [0.000, 0.500, 0.000], [0.000, 0.000, 0.500], [0.500, 0.500, 0.500]]}


{"formula": "Y4AsAuS2", "functional": "PBE", "state": "optimized geometry", "crystal_system": "monoclinic", "formation_energy_uncorrected_kcal_per_mol_atoms": -36.0, "lattice": [[-3.216, 0.526, 2.307], [-0.067, -6.965, 1.494], [3.873, -1.088, 5.647]], "species": ["S", "Y", "As", "S", "Y", "Y", "Y", "Au"], "fractional_positions": [[0.000, 0.000, 0.000], [0.000, 0.758, 0.753], [0.500, 0.500, 0.000], [0.500, 0.000, 0.500], [0.500, 0.235, 0.759], [0.000, 0.242, 0.247], [0.500, 0.765, 0.241], [0.000, 0.500, 0.500]]}


{"formula": "Sb2AsAu", "functional": "PBE", "state": "optimized geometry", "crystal_system": "monoclinic", "formation_energy_uncorrected_kcal_per_mol_atoms": -0.3, "lattice": [[4.008, -0.019, 0.009], [1.986, 3.481, 0.009], [2.006, 1.158, 6.928]], "species": ["As", "Au", "Sb", "Sb"], "fractional_positions": [[0.250, 0.250, 0.250], [0.750, 0.750, 0.750], [0.498, 0.498, 0.505], [0.002, 0.002, 0.995]]}


{"formula": "SbAsAu4", "functional": "PBE", "state": "optimized geometry", "crystal_system": "cubic", "formation_energy_uncorrected_kcal_per_mol_atoms": 4.3, "lattice": [[0.000, 3.954, 3.954], [3.954, 0.000, 3.954], [3.954, 3.954, 0.000]], "species": ["Au", "Au", "Au", "Sb", "As", "Au"], "fractional_positions": [[0.375, 0.375, 0.875], [0.375, 0.875, 0.375], [0.875, 0.375, 0.375], [0.750, 0.750, 0.750], [0.000, 0.000, 0.000], [0.375, 0.375, 0.375]]}


{"formula": "Sb2AsAu", "functional": "PBE", "state": "optimized geometry", "crystal_system": "orthorhombic", "formation_energy_uncorrected_kcal_per_mol_atoms": 6.0, "lattice": [[3.203, 0.132, 0.000], [-1.093, 3.014, 0.000], [0.000, 0.000, 9.511]], "species": ["Au", "As", "Sb", "Sb"], "fractional_positions": [[0.500, 0.500, 0.733], [0.000, 0.000, 0.528], [0.500, 0.500, 0.273], [0.000, 0.000, 0.966]]}


Copy entry 4 word for word.
{"formula": "Sm4AsAuS2", "functional": "PBE", "state": "optimized geometry", "crystal_system": "monoclinic", "formation_energy_uncorrected_kcal_per_mol_atoms": -35.9, "lattice": [[-3.268, -1.239, 2.121], [4.285, -3.912, 4.317], [2.030, 4.044, 5.490]], "species": ["Sm", "Au", "S", "Sm", "Sm", "Sm", "S", "As"], "fractional_positions": [[0.000, 0.241, 0.246], [0.000, 0.500, 0.500], [0.000, 0.000, 0.000], [0.500, 0.766, 0.240], [0.500, 0.234, 0.760], [0.000, 0.759, 0.754], [0.500, 0.000, 0.500], [0.500, 0.500, 0.000]]}